Record 1
First-principles (PBE) data for P2PdPbCl after structural relaxation, as listed in the Alexandria database.

a b c (Å): 4.490 4.490 8.726
angles (deg): 90.00 90.00 90.00
Fractional positions:
P 0.000 0.500 0.000
P 0.500 0.000 0.000
Pd 0.000 0.000 0.000
Pb 0.500 0.500 0.500
Cl 0.000 0.000 0.500

Results
- DFT total energy: -3.901 eV per atom
- M_tot: 0.053 μB/atom
- Polymorph energy (0 for the lowest one): 0.00 eV per formula unit
- Energy relative to the elements, uncorrected: 0.413 eV/atom



Record 2
First-principles (PBE) data for P2PdPbCl after structural relaxation, as listed in the Alexandria database.

a b c (Å): 5.309 5.309 5.308
angles (deg): 90.00 90.00 90.00
Fractional positions:
P 0.000 0.500 0.000
P 0.500 0.000 0.000
Pd 0.000 0.000 0.500
Pb 0.500 0.500 0.000
Cl 0.500 0.500 0.500

Results
- DFT total energy: -3.166 eV per atom
- M_tot: 0.348 μB/atom
- Polymorph energy (0 for the lowest one): 3.67 eV per formula unit
- Energy relative to the elements, uncorrected: 1.148 eV/atom